1.
! Y2AgPt, PBEsol geometry, DFT meta-GGA SCAN; values from VASP
&SYSTEM
  ibrav = 0, nat = 4, ntyp = 3
/
ATOMIC_SPECIES
Pt 195.08 Pt.upf
Y 88.91 Y.upf
Ag 107.87 Ag.upf
ATOMIC_POSITIONS angstrom
Pt 2.002 2.002 4.904
Y 0.000 0.000 5.390
Ag 0.000 0.000 2.550
Y 2.002 2.002 1.870
CELL_PARAMETERS angstrom
4.005 0.000 0.000
0.000 4.005 0.000
0.000 0.000 5.885
! Formation energy from the elements = -771 meV per atom
! Electronic total energy = -40.083 eV/atom
! Magnetic moment = 0.00 μB/f.u.

***

2.
! Y2AgPt, PBEsol geometry, DFT meta-GGA SCAN; values from VASP
&SYSTEM
  ibrav = 0, nat = 4, ntyp = 3
/
ATOMIC_SPECIES
Ag 107.87 Ag.upf
Y 88.91 Y.upf
Pt 195.08 Pt.upf
ATOMIC_POSITIONS angstrom
Ag 1.748 1.748 0.000
Y 0.000 0.000 1.881
Y 0.000 0.000 5.217
Pt 1.748 1.748 3.549
CELL_PARAMETERS angstrom
3.496 0.000 0.000
0.000 3.496 0.000
0.000 0.000 7.098
! Formation energy from the elements = -945 meV per atom
! Electronic total energy = -40.256 eV/atom
! Magnetic moment = 0.00 μB/f.u.

***

3.
! YAg2Pt, PBEsol geometry, DFT meta-GGA SCAN; values from VASP
&SYSTEM
  ibrav = 0, nat = 4, ntyp = 3
/
ATOMIC_SPECIES
Pt 195.08 Pt.upf
Ag 107.87 Ag.upf
Y 88.91 Y.upf
ATOMIC_POSITIONS angstrom
Pt 2.946 1.701 4.845
Ag 4.419 2.551 7.100
Y 0.000 0.000 0.000
Ag 1.473 0.850 2.591
CELL_PARAMETERS angstrom
2.946 0.000 0.000
1.473 2.551 0.000
1.473 0.850 9.690
! Formation energy from the elements = 168 meV per atom
! Electronic total energy = -40.025 eV/atom
! Relative energy among the computed polymorphs = 808 meV per atom
! Magnetic moment = 0.00 μB/f.u.

***

4.
! YAg2Pt, PBEsol geometry, DFT meta-GGA SCAN; values from VASP
&SYSTEM
  ibrav = 0, nat = 4, ntyp = 3
/
ATOMIC_SPECIES
Pt 195.08 Pt.upf
Ag 107.87 Ag.upf
Y 88.91 Y.upf
ATOMIC_POSITIONS angstrom
Pt -2.101 -1.614 -1.019
Ag -1.317 -1.963 1.871
Ag 0.431 -2.981 -0.120
Y 0.000 0.000 0.000
CELL_PARAMETERS angstrom
-3.849 -0.596 0.973
-0.354 -2.632 -3.010
3.317 -1.717 3.788
! Formation energy from the elements = -640 meV per atom
! Electronic total energy = -40.833 eV/atom
! Relative energy among the computed polymorphs = 0 meV per atom
! Magnetic moment = 0.00 μB/f.u.

***

5.
! YAgPt3, PBEsol geometry, DFT meta-GGA SCAN; values from VASP
&SYSTEM
  ibrav = 0, nat = 5, ntyp = 3
/
ATOMIC_SPECIES
Pt 195.08 Pt.upf
Y 88.91 Y.upf
Ag 107.87 Ag.upf
ATOMIC_POSITIONS angstrom
Pt 2.396 0.000 0.000
Pt 0.000 2.396 0.000
Y 2.396 2.396 2.396
Ag 0.000 0.000 0.000
Pt 0.000 0.000 2.396
CELL_PARAMETERS angstrom
4.793 0.000 0.000
0.000 4.793 0.000
0.000 0.000 4.793
! Formation energy from the elements = 451 meV per atom
! Electronic total energy = -53.507 eV/atom
! Magnetic moment = 0.00 μB/f.u.

***

6.
! ZnAgPt, PBEsol geometry, DFT meta-GGA SCAN; values from VASP
&SYSTEM
  ibrav = 0, nat = 3, ntyp = 3
/
ATOMIC_SPECIES
Pt 195.08 Pt.upf
Zn 65.41 Zn.upf
Ag 107.87 Ag.upf
ATOMIC_POSITIONS angstrom
Pt 1.687 0.000 2.486
Zn 0.996 2.153 1.243
Ag 0.122 0.000 0.000
CELL_PARAMETERS angstrom
2.806 0.000 0.000
0.000 4.306 0.000
0.000 -2.153 3.729
! Formation energy from the elements = -223 meV per atom
! Electronic total energy = -38.582 eV/atom
! Magnetic moment = 0.00 μB/f.u.

***

7.
! Zn2AgPt2, PBEsol geometry, DFT meta-GGA SCAN; values from VASP
&SYSTEM
  ibrav = 0, nat = 10, ntyp = 3
/
ATOMIC_SPECIES
Pt 195.08 Pt.upf
Ag 107.87 Ag.upf
Zn 65.41 Zn.upf
ATOMIC_POSITIONS angstrom
Pt -4.869 -4.711 1.240
Ag 0.000 0.000 0.000
Pt -2.029 -2.793 -3.325
Zn -6.392 -4.698 -0.878
Zn -4.413 -3.338 -3.955
Zn -2.488 -0.867 -1.625
Pt -4.884 -5.578 -2.702
Zn -4.468 -2.227 1.452
Ag -3.449 -3.752 -1.043
Pt -2.014 -1.926 0.617
CELL_PARAMETERS angstrom
-1.983 1.939 -0.418
-2.169 -3.529 -6.080
-4.729 -3.975 3.994
! Formation energy from the elements = -416 meV per atom
! Electronic total energy = -40.173 eV/atom
! Magnetic moment = 0.00 μB/f.u.

***

8.
! ZrAgPt, PBEsol geometry, DFT meta-GGA SCAN; values from VASP
&SYSTEM
  ibrav = 0, nat = 3, ntyp = 3
/
ATOMIC_SPECIES
Ag 107.87 Ag.upf
Zr 91.22 Zr.upf
Pt 195.08 Pt.upf
ATOMIC_POSITIONS angstrom
Ag -3.563 -5.786 1.515
Zr -2.460 -1.539 -0.549
Pt -2.310 -4.342 -0.613
CELL_PARAMETERS angstrom
-2.519 1.414 -0.524
1.370 -1.414 -2.177
-3.592 -5.834 1.528
! Formation energy from the elements = -245 meV per atom
! Electronic total energy = -44.331 eV/atom
! Relative energy among the computed polymorphs = 0 meV per atom
! Magnetic moment = 0.00 μB/f.u.

***

Question: Among the records above, which one has the lowest formation energy from the elements?
Answer: number 2